Below is a geometry-optimized ScAl2Tc2 structure, with properties calculated at the GGA-PBEsol level.

Cell: 6.911 6.911 3.207 Å, 90.00 90.00 90.00°
Space group P4/mbm (No. 127)
Inequivalent atoms, fractional coordinates:
Sc (0.000, 0.000, 0.000)
Al (0.128, 0.372, 0.000)
Tc (0.167, 0.667, 0.500)

Calculated values
As for the total energy: -77.998 eV/cell. The calculation puts the energy of formation from the pure elements at -0.336 eV per atom. The total magnetic moment is 0.872 μB per formula unit.

***

Below is a geometry-optimized Sc2AlTc structure, with properties calculated at the GGA-PBEsol level.

Cell: 3.1186 3.1186 26.8554 Å, 90.00 90.00 120.00°
Space group R3m (No. 160, hexagonal axes)
Inequivalent atoms, fractional coordinates:
Sc (0.0000, 0.0000, 0.0000)
Sc (0.0000, 0.0000, 0.2271)
Al (0.0000, 0.0000, 0.7538)
Tc (0.0000, 0.0000, 0.4876)

Calculated values
As for the total energy: -85.633 eV/cell. The calculation puts the energy of formation from the pure elements at 0.006 eV per atom. The total magnetic moment is 0.000 μB per formula unit. The energy relative to the lowest polymorph listed for this composition is 360 meV/atom.

***

Below is a geometry-optimized ScAlTc structure, with properties calculated at the GGA-PBEsol level.

Cell: 3.293 3.293 9.051 Å, 90.00 90.00 90.00°
Space group I4mm (No. 107)
Inequivalent atoms, fractional coordinates:
Sc (0.000, 0.000, 0.000)
Al (0.000, 0.000, 0.304)
Tc (0.000, 0.000, 0.670)

Calculated values
As for the total energy: -46.023 eV/cell. The calculation puts the energy of formation from the pure elements at -0.349 eV per atom. The total magnetic moment is 0.001 μB per formula unit.

***

Below is a geometry-optimized Sc2AlTc structure, with properties calculated at the GGA-PBEsol level.

Cell: 3.403 4.528 9.244 Å, 90.00 90.00 90.00°
Space group Imm2 (No. 44)
Inequivalent atoms, fractional coordinates:
Sc (0.000, 0.000, 0.000)
Sc (0.000, 0.500, 0.225)
Al (0.000, 0.000, 0.454)
Tc (0.000, 0.500, 0.743)

Calculated values
As for the total energy: -59.156 eV/cell. The calculation puts the energy of formation from the pure elements at -0.252 eV per atom. The total magnetic moment is 0.000 μB per formula unit. The energy relative to the lowest polymorph listed for this composition is 102 meV/atom.

***

Below is a geometry-optimized Sc2AlTc structure, with properties calculated at the GGA-PBEsol level.

Cell: 3.320 3.320 6.428 Å, 90.00 90.00 90.00°
Space group P4/mmm (No. 123)
Inequivalent atoms, fractional coordinates:
Sc (0.000, 0.000, 0.228)
Al (0.500, 0.500, 0.500)
Tc (0.500, 0.500, 0.000)

Calculated values
As for the total energy: -29.986 eV/cell. The calculation puts the energy of formation from the pure elements at -0.355 eV per atom. The total magnetic moment is 0.000 μB per formula unit. The energy relative to the lowest polymorph listed for this composition is 0 meV/atom.

***

Below is a geometry-optimized Sc2AlTc structure, with properties calculated at the GGA-PBEsol level.

Cell: 3.467 4.752 8.749 Å, 90.00 90.00 90.00°
Space group Cmmm (No. 65)
Inequivalent atoms, fractional coordinates:
Sc (0.000, 0.000, 0.226)
Al (0.000, 0.500, 0.500)
Tc (0.000, 0.500, 0.000)

Calculated values
As for the total energy: -58.563 eV/cell. The calculation puts the energy of formation from the pure elements at -0.178 eV per atom. The total magnetic moment is 0.000 μB per formula unit. The energy relative to the lowest polymorph listed for this composition is 176 meV/atom.

***

Below is a geometry-optimized ScAlZnTc2 structure, with properties calculated at the GGA-PBEsol level.

Cell: 4.519 4.519 4.555 Å, 90.00 90.00 90.00°
Space group P4/mmm (No. 123)
Inequivalent atoms, fractional coordinates:
Sc (0.000, 0.000, 0.000)
Al (0.500, 0.500, 0.000)
Zn (0.000, 0.000, 0.500)
Tc (0.000, 0.500, 0.500)

Calculated values
As for the total energy: -29.626 eV/cell. The calculation puts the energy of formation from the pure elements at 1.037 eV per atom. The total magnetic moment is 0.782 μB per formula unit.

***

Below is a geometry-optimized ScAl2Te structure, with properties calculated at the GGA-PBEsol level.

Cell: 3.778 3.777 5.693 Å, 90.00 90.33 90.00°
Space group P2/m (No. 10)
Inequivalent atoms, fractional coordinates:
Sc (0.000, 0.000, 0.000)
Al (0.500, 0.500, 0.237)
Te (0.000, 0.000, 0.500)

Calculated values
As for the total energy: -19.237 eV/cell. The total magnetic moment is 0.000 μB per formula unit.